# 1
Computed, not measured: a relaxed structure of La2Y4Th at the PBE-GGA level of DFT.

Values from the calculation:
E above lowest polymorph ... 0.0 meV per atom
Total magnetic moment ... 0.00 μB per formula unit
Calculated volume ... 33.69 A^3/atom
E_tot ... -6.130 eV/atom
E_form ... 0.03 eV/atom

a b c (Å): 3.643 3.643 20.648
angles (deg): 95.09 95.09 59.90
Fractional coordinates of all 7 atoms:
La1 0.000 0.000 0.000
La2 0.093 0.093 0.288
Y1 0.280 0.280 0.853
Y2 0.378 0.378 0.146
Y3 0.809 0.809 0.433
Y4 0.901 0.901 0.715
Th1 0.184 0.184 0.574



# 2
Computed, not measured: a relaxed structure of LaYTh at the PBE-GGA level of DFT.

Values from the calculation:
E above lowest polymorph ... 56.7 meV per atom
Total magnetic moment ... 0.00 μB per formula unit
Calculated volume ... 33.54 A^3/atom
E_tot ... -6.189 eV/atom
E_form ... 0.08 eV/atom

a b c (Å): 6.730 6.730 5.716
angles (deg): 114.96 114.96 63.56
Fractional coordinates of all 6 atoms:
La1 0.162 0.162 0.165
La2 0.838 0.838 0.835
Y1 0.334 0.334 0.835
Y2 0.666 0.666 0.165
Th1 0.258 0.742 0.500
Th2 0.742 0.258 0.500



# 3
Computed, not measured: a relaxed structure of La5Y8Th at the PBE-GGA level of DFT.

Values from the calculation:
Total magnetic moment ... 0.02 μB per formula unit
Calculated volume ... 35.22 A^3/atom
E_tot ... -5.738 eV/atom
E_form ... 0.25 eV/atom

a b c (Å): 8.631 8.631 8.631
angles (deg): 111.52 111.52 105.45
Fractional coordinates of all 14 atoms:
La1 0.000 0.000 0.000
La2 0.045 0.435 0.828
La3 0.565 0.394 0.610
La4 0.606 0.217 0.172
La5 0.783 0.955 0.390
Y1 0.087 0.331 0.406
Y2 0.278 0.174 0.745
Y3 0.319 0.913 0.244
Y4 0.429 0.533 0.255
Y5 0.467 0.722 0.896
Y6 0.669 0.075 0.756
Y7 0.826 0.571 0.104
Y8 0.925 0.681 0.594
Th1 0.250 0.750 0.500



The highest calculated volume belongs to which entry?
La5Y8Th



What did the second record say?
Computed, not measured: a relaxed structure of LaYTh at the PBE-GGA level of DFT.

Values from the calculation:
E above lowest polymorph ... 56.7 meV per atom
Total magnetic moment ... 0.00 μB per formula unit
Calculated volume ... 33.54 A^3/atom
E_tot ... -6.189 eV/atom
E_form ... 0.08 eV/atom

a b c (Å): 6.730 6.730 5.716
angles (deg): 114.96 114.96 63.56
Fractional coordinates of all 6 atoms:
La1 0.162 0.162 0.165
La2 0.838 0.838 0.835
Y1 0.334 0.334 0.835
Y2 0.666 0.666 0.165
Th1 0.258 0.742 0.500
Th2 0.742 0.258 0.500



Copy entry 3 word for word.
Computed, not measured: a relaxed structure of La5Y8Th at the PBE-GGA level of DFT.

Values from the calculation:
Total magnetic moment ... 0.02 μB per formula unit
Calculated volume ... 35.22 A^3/atom
E_tot ... -5.738 eV/atom
E_form ... 0.25 eV/atom

a b c (Å): 8.631 8.631 8.631
angles (deg): 111.52 111.52 105.45
Fractional coordinates of all 14 atoms:
La1 0.000 0.000 0.000
La2 0.045 0.435 0.828
La3 0.565 0.394 0.610
La4 0.606 0.217 0.172
La5 0.783 0.955 0.390
Y1 0.087 0.331 0.406
Y2 0.278 0.174 0.745
Y3 0.319 0.913 0.244
Y4 0.429 0.533 0.255
Y5 0.467 0.722 0.896
Y6 0.669 0.075 0.756
Y7 0.826 0.571 0.104
Y8 0.925 0.681 0.594
Th1 0.250 0.750 0.500



Please write out number 1 again, unchanged.
Computed, not measured: a relaxed structure of La2Y4Th at the PBE-GGA level of DFT.

Values from the calculation:
E above lowest polymorph ... 0.0 meV per atom
Total magnetic moment ... 0.00 μB per formula unit
Calculated volume ... 33.69 A^3/atom
E_tot ... -6.130 eV/atom
E_form ... 0.03 eV/atom

a b c (Å): 3.643 3.643 20.648
angles (deg): 95.09 95.09 59.90
Fractional coordinates of all 7 atoms:
La1 0.000 0.000 0.000
La2 0.093 0.093 0.288
Y1 0.280 0.280 0.853
Y2 0.378 0.378 0.146
Y3 0.809 0.809 0.433
Y4 0.901 0.901 0.715
Th1 0.184 0.184 0.574